1.
Here is a relaxed structure of PmTaFe4 from Alexandria via LeMat-Bulk. Energies are from GGA-PBE.

a = 5.0331 Å, b = 5.0331 Å, c = 5.0331 Å
α = 60.00°, β = 60.00°, γ = 60.00°
Fractional coordinates of all 6 atoms:
Pm 0.0000 0.0000 0.0000
Ta 0.2500 0.2500 0.2500
Fe 0.1282 0.6239 0.6239
Fe 0.6239 0.1282 0.6239
Fe 0.6239 0.6239 0.1282
Fe 0.6239 0.6239 0.6239

D(E_F) (states/eV/f.u.): 3.64
Energy of formation from the pure elements (kJ/mol of formula units): 39
VASP energy (Ha/atom): -0.3066

---

2.
Here is a relaxed structure of Tb3PmFe8 from Alexandria via LeMat-Bulk. Energies are from GGA-PBE.

a = 8.9623 Å, b = 8.9623 Å, c = 8.9623 Å
α = 33.55°, β = 33.55°, γ = 33.55°
Fractional coordinates of all 12 atoms:
Tb 0.0000 0.0000 0.0000
Tb 0.1247 0.1247 0.1247
Tb 0.6252 0.6252 0.6252
Pm 0.5000 0.5000 0.5000
Fe 0.0602 0.5623 0.5623
Fe 0.0628 0.0628 0.5642
Fe 0.0628 0.5642 0.0628
Fe 0.3128 0.3128 0.3128
Fe 0.5623 0.0602 0.5623
Fe 0.5623 0.5623 0.0602
Fe 0.5642 0.0628 0.0628
Fe 0.8120 0.8120 0.8120

D(E_F) (states/eV/f.u.): 16.33
Energy of formation from the pure elements (kJ/mol of formula units): -39
VASP energy (Ha/atom): -0.2657

---

3.
Here is a relaxed structure of TbPmFe4 from Alexandria via LeMat-Bulk. Energies are from GGA-PBE.

a = 5.1982 Å, b = 5.1982 Å, c = 5.1982 Å
α = 60.00°, β = 60.00°, γ = 60.00°
Fractional coordinates of all 6 atoms:
Tb 0.0000 0.0000 0.0000
Pm 0.2500 0.2500 0.2500
Fe 0.1244 0.6252 0.6252
Fe 0.6252 0.1244 0.6252
Fe 0.6252 0.6252 0.1244
Fe 0.6252 0.6252 0.6252

D(E_F) (states/eV/f.u.): 8.06
Energy of formation from the pure elements (kJ/mol of formula units): -4
VASP energy (Ha/atom): -0.2650